(1)
Density functional theory data (PBE) for crystalline TbCe2ErN4 at its relaxed geometry.

## Properties
total DFT energy (no corrections) = -8.3953 eV/atom
uncorrected formation energy = -1.600 eV per atom

```
data_TbCe2ErN4
_chemical_formula_sum 'Tb1 Ce2 Er1 N4'
_cell_length_a 6.087
_cell_length_b 3.514
_cell_length_c 6.092
_cell_angle_alpha 90.00
_cell_angle_beta 109.45
_cell_angle_gamma 90.00
_space_group_name_H-M_alt 'P 1 2/m 1'
_space_group_IT_number 10
_space_group_name_Hall '-P 2y'
loop_
_atom_site_label
_atom_site_fract_x
_atom_site_fract_y
_atom_site_fract_z
_atom_site_occupancy
Tb1 0.000 0.000 0.000 1
Ce1 0.000 0.500 0.500 1
Ce2 0.500 0.000 0.500 1
Er1 0.500 0.500 0.000 1
N1 0.252 0.500 0.248 1
N2 0.254 0.000 0.754 1
```

---

(2)
Density functional theory data (PBE) for crystalline PPtSe2 at its relaxed geometry.

## Properties
total DFT energy (no corrections) = -4.3900 eV/atom
uncorrected formation energy = 0.215 eV per atom

```
data_PPtSe2
_chemical_formula_sum 'P3 Pt3 Se6'
_cell_length_a 3.7530
_cell_length_b 3.7530
_cell_length_c 22.7859
_cell_angle_alpha 90.00
_cell_angle_beta 90.00
_cell_angle_gamma 120.00
_space_group_name_H-M_alt 'R -3 m'
_space_group_IT_number 166
_space_group_name_Hall '-R 3 2"'
loop_
_atom_site_label
_atom_site_fract_x
_atom_site_fract_y
_atom_site_fract_z
_atom_site_occupancy
P1 0.0000 0.0000 0.0000 1
Pt1 0.0000 0.0000 0.5000 1
Se1 0.0000 0.0000 0.1071 1
```

---

(3)
Density functional theory data (PBE) for crystalline EuLuMg2 at its relaxed geometry.

## Properties
total DFT energy (no corrections) = -4.5431 eV/atom

```
data_EuLuMg2
_chemical_formula_sum 'Eu1 Lu1 Mg2'
_cell_length_a 3.828
_cell_length_b 3.828
_cell_length_c 7.908
_cell_angle_alpha 90.00
_cell_angle_beta 90.00
_cell_angle_gamma 90.00
_space_group_name_H-M_alt 'P 4/m m m'
_space_group_IT_number 123
_space_group_name_Hall '-P 4 2'
loop_
_atom_site_label
_atom_site_fract_x
_atom_site_fract_y
_atom_site_fract_z
_atom_site_occupancy
Eu1 0.000 0.000 0.000 1
Lu1 0.000 0.000 0.500 1
Mg1 0.500 0.500 0.274 1
```

---

(4)
Density functional theory data (PBE) for crystalline Ac2Si4Pd5 at its relaxed geometry.

## Properties
total DFT energy (no corrections) = -5.8348 eV/atom
uncorrected formation energy = -0.755 eV per atom

```
data_Ac2Si4Pd5
_chemical_formula_sum 'Ac8 Si16 Pd20'
_cell_length_a 6.006
_cell_length_b 10.546
_cell_length_c 13.704
_cell_angle_alpha 90.00
_cell_angle_beta 90.00
_cell_angle_gamma 90.00
_space_group_name_H-M_alt 'F m m m'
_space_group_IT_number 69
_space_group_name_Hall '-F 2 2'
loop_
_atom_site_label
_atom_site_fract_x
_atom_site_fract_y
_atom_site_fract_z
_atom_site_occupancy
Ac1 0.000 0.000 0.143 1
Si1 0.000 0.154 0.370 1
Pd1 0.000 0.000 0.500 1
Pd2 0.250 0.250 0.000 1
Pd3 0.250 0.250 0.250 1
```